Material: Eu2HoHg
Method: DFT, PBE
State: relaxed

Computed properties:
- D(E_F) (states/eV per cell) = 3.9
- ΔH_f (0 K) (meV/atom) = -182.5
- crystal system = tetragonal
- energy above the most stable polymorph in this dataset (eV/atom) = 0.000

Cell lengths 3.789, 3.789, 9.174 Å; angles 90.00, 90.00, 90.00 degrees
Space group P4/mmm (No. 123)
Symmetry-distinct sites (fractional):
Eu 0.000 0.000 0.216 x2
Ho 0.500 0.500 0.500 x1
Hg 0.500 0.500 0.000 x1